1.
DFT (PBE-GGA) results for a relaxed structure of LiZrGaI.

Formation energy without anion corrections (meV per atom): -311
Excess energy over the best structure of this formula in the dataset (meV per atom): 43

Unit cell a=3.627 b=3.627 c=8.111 alpha=90.00 beta=90.00 gamma=120.00
Fractional coordinates of all 4 atoms:
Ga 0.667 0.333 0.934
I 0.000 0.000 0.435
Li 0.333 0.667 0.721
Zr 0.333 0.667 0.180

2.
DFT (PBE-GGA) results for a relaxed structure of Ca6Cd2In.

Formation enthalpy at 0 K (eV per atom): -0.266

Unit cell a=9.209 b=9.209 c=9.209 alpha=106.24 beta=111.65 gamma=110.58
Fractional coordinates of all 18 atoms:
Ca 0.719 0.389 0.670
Ca 0.719 0.048 0.330
Ca 0.907 0.725 0.181
Ca 0.093 0.275 0.819
Ca 0.281 0.952 0.670
Ca 0.806 0.249 0.055
Ca 0.194 0.249 0.443
Ca 0.281 0.611 0.330
Ca 0.806 0.751 0.557
Ca 0.194 0.751 0.945
Ca 0.456 0.275 0.181
Ca 0.544 0.725 0.819
Cd 0.500 0.633 0.133
Cd 0.352 0.000 0.352
Cd 0.500 0.367 0.867
Cd 0.648 0.000 0.648
In 0.000 0.500 0.500
In 0.000 0.000 0.000

3.
DFT (PBE-GGA) results for a relaxed structure of PaNbRh5.

Formation enthalpy at 0 K (eV per atom): -0.457

Unit cell a=4.088 b=4.088 c=7.250 alpha=90.00 beta=90.00 gamma=90.00
Fractional coordinates of all 7 atoms:
Pa 0.000 0.000 0.500
Rh 0.000 0.500 0.223
Rh 0.000 0.500 0.777
Rh 0.500 0.000 0.223
Rh 0.500 0.000 0.777
Rh 0.500 0.500 0.500
Nb 0.500 0.500 0.000

4.
DFT (PBE-GGA) results for a relaxed structure of CeErCdBi.

Formation enthalpy at 0 K (eV per atom): -0.365

Unit cell a=5.421 b=5.421 c=5.421 alpha=60.00 beta=60.00 gamma=60.00
Fractional coordinates of all 4 atoms:
Cd 0.750 0.750 0.750
Bi 0.250 0.250 0.250
Ce 0.000 0.000 0.000
Er 0.500 0.500 0.500

5.
DFT (PBE-GGA) results for a relaxed structure of CePtPb.

Formation enthalpy at 0 K (eV per atom): -0.610

Unit cell a=3.543 b=3.543 c=6.460 alpha=105.92 beta=105.92 gamma=90.00
Fractional coordinates of all 3 atoms:
Ce 0.587 0.587 0.175
Pb 0.301 0.301 0.602
Pt 0.961 0.961 0.923

6.
DFT (PBE-GGA) results for a relaxed structure of Nd3HfN4.

Formation energy without anion corrections (meV per atom): -1394
Excess energy over the best structure of this formula in the dataset (meV per atom): 0

Unit cell a=5.187 b=6.987 c=8.141 alpha=90.00 beta=90.00 gamma=90.00
Fractional coordinates of all 16 atoms:
Hf 0.028 0.173 0.000
Hf 0.528 0.827 0.500
Nd 0.561 0.842 0.000
Nd 0.561 0.330 0.747
Nd 0.061 0.670 0.247
Nd 0.561 0.330 0.253
Nd 0.061 0.158 0.500
Nd 0.061 0.670 0.753
N 0.562 0.684 0.272
N 0.560 0.128 0.500
N 0.062 0.316 0.772
N 0.620 0.174 0.000
N 0.060 0.872 0.000
N 0.120 0.826 0.500
N 0.562 0.684 0.728
N 0.062 0.316 0.228